CaHfZn | PBE | optimized geometry

Magnetic moment (μB/f.u.): 0.000
Final energy (eV/atom): -3.49
Excess energy over the best structure of this formula in the dataset (meV per atom): 905

Cell: 6.8092 6.8092 6.8092 Å, 90.00 90.00 90.00°
Space group F-43m (No. 216)
Unique sites:
Ca  0.0000  0.0000  0.0000 (multiplicity 4)
Hf  0.2500  0.2500  0.2500 (multiplicity 4)
Zn  0.0000  0.0000  0.5000 (multiplicity 4)

CaHf2Zr4 | PBE | optimized geometry

Magnetic moment (μB/f.u.): 0.564
Final energy (eV/atom): -6.72

Cell: 4.8256 4.8256 15.4371 Å, 90.00 90.00 90.00°
Space group I4/mmm (No. 139)
Unique sites:
Ca  0.0000  0.0000  0.0000 (multiplicity 2)
Hf  0.0000  0.0000  0.3743 (multiplicity 4)
Zr  0.0000  0.0000  0.1930 (multiplicity 4)
Zr  0.0000  0.5000  0.0000 (multiplicity 4)

Ca3HfZr | PBE | optimized geometry

Magnetic moment (μB/f.u.): 1.330
Final energy (eV/atom): -3.57
Excess energy over the best structure of this formula in the dataset (meV per atom): 0

Cell: 5.5418 5.5418 5.5418 Å, 90.00 90.00 90.00°
Space group Pm-3m (No. 221)
Unique sites:
Ca  0.0000  0.0000  0.5000 (multiplicity 3)
Hf  0.5000  0.5000  0.5000 (multiplicity 1)
Zr  0.0000  0.0000  0.0000 (multiplicity 1)